Crystalline MgAs2P at its relaxed geometry, computed with PBE-GGA.

Cell: 4.656 2.835 5.706 Å, 86.44 90.00 90.00°
Sites, in units of the cell vectors:
As  0.000  0.766  0.011
As  0.000  0.734  0.489
P  0.500  0.750  0.750
Mg  0.500  0.250  0.250

Results
* M_tot: 0.00 μB per formula unit
* formation energy from the elements: 14.56 kJ per mole of atoms
* Fermi-level density of states: 0.245 states/eV/atom
* space group: P2/m, No. 10
* uncorrected energy: -3.925 eV/atom